AlRuAu2: single point on PBEsol structure, meta-GGA SCAN.

Output
As for the total energy: -1.664 hartree per atom. Its formation energy is -0.05 eV per atom. The crystal system is monoclinic. The calculation puts the spin magnetization at 0.27 μB per atom.

The structure in POSCAR format:
```
AlRuAu2
1.0
2.874 0.000 0.000
0.000 4.116 0.000
-1.215 0.000 5.219
Al Ru Au
1 1 2
Cartesian
0.000 0.000 0.000
-0.607 0.000 2.609
0.849 2.058 1.268
0.811 2.058 3.950
```

=====

AlRuAu2: single point on PBEsol structure, meta-GGA SCAN.

Output
As for the total energy: -1.666 hartree per atom. Its formation energy is -0.12 eV per atom. The crystal system is orthorhombic. The calculation puts the spin magnetization at 0.17 μB per atom.

The structure in POSCAR format:
```
AlRuAu2
1.0
-1.543 2.187 4.534
1.543 -2.187 4.534
1.543 2.187 -4.534
Al Ru Au
1 1 2
Cartesian
0.000 0.000 0.000
0.000 0.000 4.534
1.543 0.000 2.081
0.000 2.187 2.454
```

=====

AlRu2Au: single point on PBEsol structure, meta-GGA SCAN.

Output
As for the total energy: -1.350 hartree per atom. Its formation energy is -0.10 eV per atom. The crystal system is monoclinic. The calculation puts the spin magnetization at 0.00 μB per atom.

The structure in POSCAR format:
```
AlRu2Au
1.0
4.585 0.000 0.000
0.000 2.823 0.000
-1.357 0.000 4.424
Al Ru Au
1 2 1
Cartesian
0.000 0.000 0.000
1.614 0.000 2.212
2.293 1.411 0.000
-0.678 1.411 2.212
```

=====

AlRu2Au: single point on PBEsol structure, meta-GGA SCAN.

Output
As for the total energy: -1.350 hartree per atom. Its formation energy is -0.09 eV per atom. The crystal system is tetragonal. The calculation puts the spin magnetization at 0.00 μB per atom.

The structure in POSCAR format:
```
AlRu2Au
1.0
3.886 0.000 0.000
0.000 3.886 0.000
0.000 0.000 3.782
Al Ru Au
1 2 1
Cartesian
0.000 0.000 0.000
0.000 1.943 1.891
1.943 0.000 1.891
1.943 1.943 0.000
```

=====

AlRuAu: single point on PBEsol structure, meta-GGA SCAN.

Output
As for the total energy: -1.377 hartree per atom. Its formation energy is -0.23 eV per atom. The crystal system is cubic. The calculation puts the spin magnetization at 0.00 μB per atom.

The structure in POSCAR format:
```
AlRuAu
1.0
0.000 2.895 2.895
2.895 0.000 2.895
2.895 2.895 0.000
Al Ru Au
1 1 1
Cartesian
0.000 0.000 0.000
1.448 1.448 1.448
4.343 4.343 4.343
```

=====

AlAu2S: single point on PBEsol structure, meta-GGA SCAN.

Output
The calculation puts the uncorrected formation energy at 0.21 eV per atom. As for the total energy: -1.423 hartree per atom. The crystal system is cubic. The calculation puts the spin magnetization at 0.00 μB per atom.

The structure in POSCAR format:
```
AlAu2S
1.0
0.000 3.219 3.219
3.219 0.000 3.219
3.219 3.219 0.000
Al Au S
1 2 1
Cartesian
0.000 0.000 0.000
1.610 1.610 1.610
4.829 4.829 4.829
3.219 3.219 3.219
```

=====

AlTc2AuS: single point on PBEsol structure, meta-GGA SCAN.

Output
The calculation puts the uncorrected formation energy at 1.66 eV per atom. As for the total energy: -1.090 hartree per atom. The crystal system is tetragonal. The calculation puts the spin magnetization at 1.39 μB per atom.

The structure in POSCAR format:
```
AlTc2AuS
1.0
4.990 0.000 0.000
0.000 4.990 0.000
0.000 0.000 4.531
Al Tc Au S
1 2 1 1
Cartesian
0.000 0.000 0.000
0.000 2.495 2.266
2.495 0.000 2.266
2.495 2.495 2.266
2.495 2.495 0.000
```

=====

AlSbAu2: single point on PBEsol structure, meta-GGA SCAN.

Output
The calculation puts the uncorrected formation energy at -0.25 eV per atom. As for the total energy: -1.694 hartree per atom. As for the energy above the most stable polymorph in this dataset: 29 meV/atom. The crystal system is trigonal. The calculation puts the spin magnetization at 0.00 μB per atom.

The structure in POSCAR format:
```
AlSbAu2
1.0
1.638 0.946 8.266
-1.638 0.946 8.266
0.000 -1.892 8.266
Al Sb Au
1 1 2
Cartesian
0.000 0.000 0.000
0.000 0.000 12.399
0.000 0.000 6.477
0.000 0.000 18.321
```